[1]
First-principles (PBE-GGA) data for a relaxed CaLaGd2 crystal, as listed in Alexandria.

a b c (Å): 8.290 8.290 8.290
angles (deg): 90.00 90.00 90.00
Space group Fm-3m (No. 225)
Unique sites:
Ca: 0.000 0.000 0.000
La: 0.000 0.000 0.500
Gd: 0.250 0.250 0.250

Results
VASP energy: -0.317 Ha/atom
crystal system: cubic
calculated formation energy: 0.142 eV/atom
ΔE to the lowest computed polymorph: 89.1 meV/atom


[2]
First-principles (PBE-GGA) data for a relaxed Na4Y3HoS8 crystal, as listed in Alexandria.

a b c (Å): 7.9664 7.9664 20.0473
angles (deg): 90.00 90.00 120.00
Space group R-3m (No. 166, hexagonal axes)
Unique sites:
Na: 0.0000 0.0000 0.0000
Na: 0.0000 0.5000 0.0000
Y: 0.0000 0.5000 0.5000
Ho: 0.0000 0.0000 0.5000
S: 0.0000 0.0000 0.2424
S: 0.0014 0.5007 0.2422

Results
VASP energy: -0.211 Ha/atom
crystal system: trigonal
raw formation energy: -1852 meV/atom


| no. | total magnetization (μB per cell) |
| --- | --- |
| 1 | 61.77 |
| 2 | 0.00 |